Record 1
Fe2SiRu: optimized geometry, PBE.

As for the energy: -8.009 eV/atom. The calculation puts the uncorrected formation energy at -0.103 eV/atom.

The structure belongs to space group Pmmm (No. 47); the cell edges are 2.650, 3.667 and 4.912 Å and the angles 90.00°, 90.00° and 90.00°. The distinct sites, in fractional coordinates, are Fe at (0.000, 0.000, 0.240), Si at (0.500, 0.500, 0.000) and Ru at (0.500, 0.500, 0.500).

---

Record 2
Fe2SiRu: optimized geometry, PBE.

As for the energy: -8.047 eV/atom. The calculation puts the uncorrected formation energy at -0.141 eV/atom.

The structure belongs to space group I4/mmm (No. 139); the cell edges are 3.521, 3.521 and 7.697 Å and the angles 90.00°, 90.00° and 90.00°. The distinct sites, in fractional coordinates, are Fe at (0.000, 0.500, 0.250), Si at (0.000, 0.000, 0.000) and Ru at (0.000, 0.000, 0.500).

---

Record 3
FeSi2Ru3: optimized geometry, PBE.

As for the energy: -8.270 eV/atom. The calculation puts the uncorrected formation energy at -0.414 eV/atom.

The structure belongs to space group P4/mmm (No. 123); the cell edges are 2.941, 2.941 and 8.927 Å and the angles 90.00°, 90.00° and 90.00°. The distinct sites, in fractional coordinates, are Fe at (0.000, 0.000, 0.000), Si at (0.000, 0.000, 0.332), Ru at (0.500, 0.500, 0.178) and Ru at (0.500, 0.500, 0.500).

---

Record 4
Fe2SiRu: optimized geometry, PBE.

As for the energy: -7.893 eV/atom. The calculation puts the uncorrected formation energy at 0.013 eV/atom.

The structure belongs to space group Cmm2 (No. 35); the cell edges are 3.023, 4.399 and 7.658 Å and the angles 90.00°, 90.00° and 90.00°. The distinct sites, in fractional coordinates, are Fe at (0.000, 0.000, 0.000), Fe at (0.000, 0.500, 0.251), Si at (0.000, 0.000, 0.483) and Ru at (0.000, 0.500, 0.724).